# PBE+U Nd2SiNiO6, optimized geometry
# Uncorrected energy, eV per atom: -7.482
# V, Å³ per cell: 223
data_Nd2SiNiO6
_symmetry_space_group_name_H-M 'P 1 21/c 1'
_symmetry_Int_Tables_number 14
_cell_length_a 5.4011
_cell_length_b 5.4030
_cell_length_c 9.3199
_cell_angle_alpha 90.00
_cell_angle_beta 125.08
_cell_angle_gamma 90.00
loop_
_symmetry_equiv_pos_as_xyz
'x,y,z'
'-x,-y,-z'
'-x,y+1/2,-z+1/2'
'x,-y+1/2,z+1/2'
loop_
_atom_site_label
_atom_site_type_symbol
_atom_site_fract_x
_atom_site_fract_y
_atom_site_fract_z
_atom_site_occupancy
Nd1 Nd 0.2420 0.0339 0.2500 1
Si1 Si 0.0000 0.0000 0.5000 1
Ni1 Ni 0.5000 0.0000 0.0000 1
O1 O 0.1620 0.2360 0.9598 1
O2 O 0.2221 0.7047 0.9619 1
O3 O 0.3043 0.0126 0.7320 1